#A
Compound: NaLuReTc
Source: the Open Quantum Materials Database
Functional: PBE
Structure: optimized geometry

Results
symmetry: F-43m, No. 216

a = 4.7108 Å, b = 4.7108 Å, c = 4.7108 Å
α = 60.00°, β = 60.00°, γ = 60.00°
Last column: nearest neighbours and their distance in Å.
Element x y z (fractional)
1 Na 0.7500 0.7500 0.7500  4 Tc 2.88, 4 Re 2.88
2 Re 0.5000 0.5000 0.5000  4 Lu 2.88, 4 Na 2.88
3 Lu 0.2500 0.2500 0.2500  4 Tc 2.88, 4 Re 2.88
4 Tc 0.0000 0.0000 0.0000  4 Lu 2.88, 4 Na 2.88

#B
Compound: NaLuReTc
Source: the Open Quantum Materials Database
Functional: PBE
Structure: optimized geometry

Results
symmetry: F-43m, No. 216

a = 4.6338 Å, b = 4.6338 Å, c = 4.6338 Å
α = 60.00°, β = 60.00°, γ = 60.00°
Last column: nearest neighbours and their distance in Å.
Element x y z (fractional)
1 Tc 0.0000 0.0000 0.0000  4 Na 2.84, 4 Re 2.84
2 Re 0.2500 0.2500 0.2500  4 Lu 2.84, 4 Tc 2.84
3 Na 0.7500 0.7500 0.7500  4 Tc 2.84, 4 Lu 2.84
4 Lu 0.5000 0.5000 0.5000  4 Re 2.84, 4 Na 2.84

The data favor #B; the next most stable structure lies 593 meV/atom above it.

#A
Compound: NaLuZnSe3
Source: the Open Quantum Materials Database
Functional: PBE
Structure: optimized geometry

Results
symmetry: Pnma, No. 62

a = 8.2461 Å, b = 4.1395 Å, c = 16.3065 Å
α = 90.00°, β = 90.00°, γ = 90.00°
Last column: nearest neighbours and their distance in Å.
Element x y z (fractional)
1 Se 0.4993 0.2500 0.0840  2 Zn 2.53
2 Se 0.8727 0.7500 0.0544  1 Zn 2.51, 2 Lu 2.80
3 Lu 0.7578 0.2500 0.9547  7 Se 2.74-3.05
4 Se 0.9993 0.2500 0.4160  2 Zn 2.53
5 Se 0.1273 0.2500 0.9456  1 Zn 2.51, 2 Lu 2.80
6 Se 0.6273 0.2500 0.5544  1 Zn 2.51, 2 Lu 2.80
7 Zn 0.3733 0.2500 0.8545  4 Se 2.40-2.53
8 Na 0.0692 0.7500 0.7811  5 Se 3.02-3.26
9 Lu 0.7422 0.7500 0.4547  7 Se 2.74-3.05
10 Se 0.6977 0.7500 0.2883  1 Zn 2.40
11 Na 0.5692 0.7500 0.7189  5 Se 3.02-3.26
12 Se 0.0007 0.7500 0.5840  2 Zn 2.53
13 Se 0.1977 0.7500 0.2117  1 Zn 2.40
14 Lu 0.2578 0.2500 0.5453  7 Se 2.74-3.05
15 Lu 0.2422 0.7500 0.0453  7 Se 2.74-3.05
16 Zn 0.6267 0.7500 0.1455  4 Se 2.40-2.53
17 Zn 0.8733 0.2500 0.6455  4 Se 2.40-2.53
18 Se 0.3023 0.2500 0.7117  1 Zn 2.40
19 Na 0.4308 0.2500 0.2811  5 Se 3.02-3.26
20 Zn 0.1267 0.7500 0.3545  4 Se 2.40-2.53
21 Na 0.9308 0.2500 0.2189  5 Se 3.02-3.26
22 Se 0.8023 0.2500 0.7883  1 Zn 2.40
23 Se 0.5007 0.7500 0.9160  2 Zn 2.53
24 Se 0.3727 0.7500 0.4456  1 Zn 2.51, 2 Lu 2.80

#B
Compound: NaLuZnSe3
Source: the Open Quantum Materials Database
Functional: PBE
Structure: optimized geometry

Results
symmetry: Pnma, No. 62

a = 10.7893 Å, b = 4.0074 Å, c = 13.5958 Å
α = 90.00°, β = 90.00°, γ = 90.00°
Last column: nearest neighbours and their distance in Å.
Element x y z (fractional)
1 Zn 0.2399 0.5000 0.7829  4 Se 2.43-2.52
2 Se 0.7404 0.0000 0.8298  2 Zn 2.52
3 Se 0.9206 0.5000 0.6099  1 Zn 2.43
4 Se 0.7596 0.5000 0.3298  2 Zn 2.52
5 Se 0.9501 0.0000 0.1194  1 Zn 2.44
6 Na 0.2220 0.0000 0.9956  7 Se 3.13-3.38
7 Zn 0.7601 0.0000 0.2171  4 Se 2.43-2.52
8 Se 0.4206 0.5000 0.8901  1 Zn 2.43
9 Lu 0.5115 0.5000 0.2432  6 Se 2.80-2.92
10 Na 0.7220 0.0000 0.5044  7 Se 3.13-3.38
11 Se 0.0499 0.5000 0.8806  1 Zn 2.44
12 Se 0.2596 0.5000 0.1702  2 Zn 2.52
13 Na 0.7780 0.5000 0.0044  7 Se 3.13-3.38
14 Lu 0.4885 0.0000 0.7568  6 Se 2.80-2.92
15 Zn 0.2601 0.0000 0.2829  4 Se 2.43-2.52
16 Se 0.0794 0.0000 0.3901  1 Zn 2.43
17 Zn 0.7399 0.5000 0.7171  4 Se 2.43-2.52
18 Se 0.2404 0.0000 0.6702  2 Zn 2.52
19 Se 0.5794 0.0000 0.1099  1 Zn 2.43
20 Na 0.2780 0.5000 0.4956  7 Se 3.13-3.38
21 Se 0.5499 0.5000 0.6194  1 Zn 2.44
22 Lu 0.0115 0.5000 0.2568  6 Se 2.80-2.92
23 Lu 0.9885 0.0000 0.7432  6 Se 2.80-2.92
24 Se 0.4501 0.0000 0.3806  1 Zn 2.44

The data favor #B; the next most stable structure lies 117 meV/atom above it.

#A
Compound: NaLuZnSe3
Source: the Open Quantum Materials Database
Functional: PBE
Structure: optimized geometry

Results
symmetry: C2/m, No. 12

a = 9.5434 Å, b = 9.5434 Å, c = 8.1511 Å
α = 102.50°, β = 102.50°, γ = 24.18°
Last column: nearest neighbours and their distance in Å.
Element x y z (fractional)
1 Lu 0.1745 0.1745 0.5814  5 Se 2.75-2.79
2 Zn 0.5345 0.5345 0.7277  4 Se 2.44-2.71
3 Se 0.0000 0.0000 0.5000  4 Zn 2.71
4 Se 0.3258 0.3258 0.6543  3 Lu 2.75-2.77, 2 Na 2.99
5 Se 0.6682 0.6682 0.8161  1 Zn 2.44
6 Lu 0.8255 0.8255 0.4186  5 Se 2.75-2.79
7 Zn 0.4655 0.4655 0.2723  4 Se 2.44-2.71
8 Se 0.6742 0.6742 0.3457  3 Lu 2.75-2.77, 2 Na 2.99
9 Na 0.1251 0.1251 0.0710  6 Se 2.99-3.11
10 Se 0.3318 0.3318 0.1839  1 Zn 2.44
11 Se 0.5000 0.5000 0.0000  2 Zn 2.44
12 Na 0.8749 0.8749 0.9290  6 Se 2.99-3.11

#B
Compound: NaLuZnSe3
Source: the Open Quantum Materials Database
Functional: PBE
Structure: optimized geometry

Results
symmetry: Cmcm, No. 63

a = 10.7624 Å, b = 7.1408 Å, c = 7.1408 Å
α = 147.50°, β = 90.00°, γ = 90.00°
Last column: nearest neighbours and their distance in Å.
Element x y z (fractional)
1 Se 0.2500 0.9204 0.0796  2 Zn 2.52
2 Se 0.7500 0.0796 0.9204  2 Zn 2.52
3 Se 0.0649 0.6348 0.3652  1 Zn 2.44
4 Na 0.7500 0.7559 0.2441  6 Se 3.14-3.19
5 Se 0.5649 0.3652 0.6348  1 Zn 2.44
6 Zn 0.7500 0.4675 0.5325  4 Se 2.44-2.52
7 Na 0.2500 0.2441 0.7559  6 Se 3.14-3.19
8 Se 0.4351 0.6348 0.3652  1 Zn 2.44
9 Zn 0.2500 0.5325 0.4675  4 Se 2.44-2.52
10 Lu 0.0000 0.0000 0.0000  6 Se 2.81-2.90
11 Lu 0.5000 0.0000 0.0000  6 Se 2.81-2.90
12 Se 0.9351 0.3652 0.6348  1 Zn 2.44

The data favor #B; the next most stable structure lies 102 meV/atom above it.

#A
Compound: NaLuZnSe3
Source: the Open Quantum Materials Database
Functional: PBE
Structure: optimized geometry

Results
symmetry: Pnma, No. 62

a = 13.9848 Å, b = 4.0119 Å, c = 10.9343 Å
α = 90.00°, β = 90.00°, γ = 90.00°
Last column: nearest neighbours and their distance in Å.
Element x y z (fractional)
1 Zn 0.5117 0.7500 0.5962  4 Se 2.43-2.58
2 Lu 0.0173 0.2500 0.6553  6 Se 2.78-2.98
3 Se 0.3623 0.2500 0.2509  1 Zn 2.43
4 Lu 0.9827 0.7500 0.3447  6 Se 2.78-2.98
5 Se 0.8623 0.2500 0.2491  1 Zn 2.43
6 Na 0.7373 0.2500 0.5707  4 Se 2.97-3.13
7 Zn 0.9883 0.2500 0.0962  4 Se 2.43-2.58
8 Se 0.4037 0.2500 0.6135  3 Zn 2.52-2.58
9 Na 0.7627 0.7500 0.0707  4 Se 2.97-3.13
10 Na 0.2627 0.7500 0.4293  4 Se 2.97-3.13
11 Na 0.2373 0.2500 0.9293  4 Se 2.97-3.13
12 Se 0.5963 0.7500 0.3865  3 Zn 2.52-2.58
13 Zn 0.0117 0.7500 0.9038  4 Se 2.43-2.58
14 Se 0.8937 0.7500 0.5717  3 Lu 2.78-2.80, 2 Na 2.97
15 Se 0.9037 0.2500 0.8865  3 Zn 2.52-2.58
16 Se 0.6063 0.2500 0.0717  3 Lu 2.78-2.80, 2 Na 2.97
17 Se 0.3937 0.7500 0.9283  3 Lu 2.78-2.80, 2 Na 2.97
18 Se 0.1377 0.7500 0.7509  1 Zn 2.43
19 Lu 0.4827 0.7500 0.1553  6 Se 2.78-2.98
20 Se 0.1063 0.2500 0.4283  3 Lu 2.78-2.80, 2 Na 2.97
21 Se 0.0963 0.7500 0.1135  3 Zn 2.52-2.58
22 Lu 0.5173 0.2500 0.8447  6 Se 2.78-2.98
23 Se 0.6377 0.7500 0.7491  1 Zn 2.43
24 Zn 0.4883 0.2500 0.4038  4 Se 2.43-2.58

#B
Compound: NaLuZnSe3
Source: the Open Quantum Materials Database
Functional: PBE
Structure: optimized geometry

Results
symmetry: Pnma, No. 62

a = 10.7775 Å, b = 4.0052 Å, c = 13.6873 Å
α = 90.00°, β = 90.00°, γ = 90.00°
Last column: nearest neighbours and their distance in Å.
Element x y z (fractional)
1 Se 0.2644 0.7500 0.3304  2 Zn 2.52
2 Se 0.9146 0.7500 0.8900  1 Zn 2.43
3 Se 0.0854 0.2500 0.1100  1 Zn 2.43
4 Se 0.7644 0.7500 0.1696  2 Zn 2.52
5 Lu 0.9835 0.2500 0.7575  6 Se 2.80-2.93
6 Lu 0.0165 0.7500 0.2425  6 Se 2.80-2.93
7 Na 0.7193 0.2500 0.9941  7 Se 3.16-3.33, 2 Zn 3.53
8 Se 0.4146 0.7500 0.6100  1 Zn 2.43
9 Lu 0.4835 0.2500 0.7425  6 Se 2.80-2.93
10 Zn 0.2647 0.2500 0.2182  4 Se 2.43-2.52
11 Na 0.2193 0.2500 0.5059  7 Se 3.16-3.33, 2 Zn 3.53
12 Na 0.7807 0.7500 0.4941  7 Se 3.16-3.33, 2 Zn 3.53
13 Se 0.0451 0.7500 0.6205  1 Zn 2.45
14 Zn 0.2353 0.7500 0.7182  4 Se 2.43-2.52
15 Zn 0.7353 0.7500 0.7818  4 Se 2.43-2.52
16 Se 0.4549 0.2500 0.1205  1 Zn 2.45
17 Se 0.2356 0.2500 0.8304  2 Zn 2.52
18 Zn 0.7647 0.2500 0.2818  4 Se 2.43-2.52
19 Se 0.5854 0.2500 0.3900  1 Zn 2.43
20 Se 0.5451 0.7500 0.8795  1 Zn 2.45
21 Se 0.7356 0.2500 0.6696  2 Zn 2.52
22 Se 0.9549 0.2500 0.3795  1 Zn 2.45
23 Lu 0.5165 0.7500 0.2575  6 Se 2.80-2.93
24 Na 0.2807 0.7500 0.0059  7 Se 3.16-3.33, 2 Zn 3.53

The data favor #B; the next most stable structure lies 7 meV/atom above it.